1.
Below is a crystal of TlPOsS2 relaxed with PBEsol, with properties calculated at the meta-GGA SCAN level.

Computed properties:
E_form (uncorrected) ... 401.7 meV per atom

CIF file:
```
data_TlPOsS2
_symmetry_space_group_name_H-M 'P 1'
_symmetry_Int_Tables_number 1
_symmetry_space_group_name_Hall 'P 1'
_cell_length_a 4.469
_cell_length_b 4.786
_cell_length_c 4.786
_cell_angle_alpha 90.00
_cell_angle_beta 90.00
_cell_angle_gamma 90.00
loop_
_atom_site_label
_atom_site_type_symbol
_atom_site_fract_x
_atom_site_fract_y
_atom_site_fract_z
Tl1 Tl 0.500 0.500 0.500
Os1 Os 0.000 0.000 0.000
S1 S 0.000 0.500 0.000
S2 S 0.000 0.000 0.500
P1 P 0.500 0.000 0.000
```



2.
Below is a crystal of YP2OsS relaxed with PBEsol, with properties calculated at the meta-GGA SCAN level.

Computed properties:
E_form (uncorrected) ... -175.9 meV per atom

CIF file:
```
data_YP2OsS
_symmetry_space_group_name_H-M 'P 1'
_symmetry_Int_Tables_number 1
_symmetry_space_group_name_Hall 'P 1'
_cell_length_a 4.435
_cell_length_b 4.435
_cell_length_c 5.097
_cell_angle_alpha 90.00
_cell_angle_beta 90.00
_cell_angle_gamma 90.00
loop_
_atom_site_label
_atom_site_type_symbol
_atom_site_fract_x
_atom_site_fract_y
_atom_site_fract_z
Y1 Y 0.500 0.500 0.500
P1 P 0.500 0.000 0.000
P2 P 0.000 0.500 0.000
S1 S 0.000 0.000 0.500
Os1 Os 0.000 0.000 0.000
```



3.
Below is a crystal of ZnPOsS2 relaxed with PBEsol, with properties calculated at the meta-GGA SCAN level.

Computed properties:
E_form (uncorrected) ... 1658.3 meV per atom

CIF file:
```
data_ZnPOsS2
_symmetry_space_group_name_H-M 'P 1'
_symmetry_Int_Tables_number 1
_symmetry_space_group_name_Hall 'P 1'
_cell_length_a 4.357
_cell_length_b 4.402
_cell_length_c 4.402
_cell_angle_alpha 90.00
_cell_angle_beta 90.00
_cell_angle_gamma 90.00
loop_
_atom_site_label
_atom_site_type_symbol
_atom_site_fract_x
_atom_site_fract_y
_atom_site_fract_z
S1 S 0.000 0.000 0.500
S2 S 0.000 0.500 0.000
P1 P 0.500 0.000 0.000
Zn1 Zn 0.000 0.000 0.000
Os1 Os 0.500 0.500 0.500
```



4.
Below is a crystal of ScP2Os relaxed with PBEsol, with properties calculated at the meta-GGA SCAN level.

Computed properties:
E_form ... -0.1024 eV per atom
E above lowest polymorph ... 13.679 kcal/mol of atoms

CIF file:
```
data_ScP2Os
_symmetry_space_group_name_H-M 'P 1'
_symmetry_Int_Tables_number 1
_symmetry_space_group_name_Hall 'P 1'
_cell_length_a 3.050
_cell_length_b 3.050
_cell_length_c 7.737
_cell_angle_alpha 78.63
_cell_angle_beta 78.63
_cell_angle_gamma 60.00
loop_
_atom_site_label
_atom_site_type_symbol
_atom_site_fract_x
_atom_site_fract_y
_atom_site_fract_z
P1 P 0.742 0.742 0.774
P2 P 0.999 0.999 0.002
Sc1 Sc 0.498 0.498 0.507
Os1 Os 0.261 0.261 0.217
```



5.
Below is a crystal of ScP4Os relaxed with PBEsol, with properties calculated at the meta-GGA SCAN level.

Computed properties:
E_form ... 0.5425 eV per atom

CIF file:
```
data_ScP4Os
_symmetry_space_group_name_H-M 'P 1'
_symmetry_Int_Tables_number 1
_symmetry_space_group_name_Hall 'P 1'
_cell_length_a 4.931
_cell_length_b 4.931
_cell_length_c 4.931
_cell_angle_alpha 60.00
_cell_angle_beta 60.00
_cell_angle_gamma 60.00
loop_
_atom_site_label
_atom_site_type_symbol
_atom_site_fract_x
_atom_site_fract_y
_atom_site_fract_z
Os1 Os 0.000 0.000 0.000
P1 P 0.876 0.375 0.375
P2 P 0.375 0.375 0.876
P3 P 0.375 0.375 0.375
P4 P 0.375 0.876 0.375
Sc1 Sc 0.750 0.750 0.750
```



6.
Below is a crystal of ScP2Os relaxed with PBEsol, with properties calculated at the meta-GGA SCAN level.

Computed properties:
E_form ... -0.6956 eV per atom
E above lowest polymorph ... 0.000 kcal/mol of atoms

CIF file:
```
data_ScP2Os
_symmetry_space_group_name_H-M 'P 1'
_symmetry_Int_Tables_number 1
_symmetry_space_group_name_Hall 'P 1'
_cell_length_a 3.315
_cell_length_b 3.853
_cell_length_c 4.821
_cell_angle_alpha 90.00
_cell_angle_beta 90.00
_cell_angle_gamma 90.00
loop_
_atom_site_label
_atom_site_type_symbol
_atom_site_fract_x
_atom_site_fract_y
_atom_site_fract_z
P1 P 0.000 0.000 0.272
P2 P 0.000 0.000 0.728
Os1 Os 0.000 0.500 0.000
Sc1 Sc 0.500 0.500 0.500
```



7.
Below is a crystal of P3OsSe relaxed with PBEsol, with properties calculated at the meta-GGA SCAN level.

Computed properties:
E_form (uncorrected) ... 1969.4 meV per atom

CIF file:
```
data_P3OsSe
_symmetry_space_group_name_H-M 'P 1'
_symmetry_Int_Tables_number 1
_symmetry_space_group_name_Hall 'P 1'
_cell_length_a 4.431
_cell_length_b 4.431
_cell_length_c 4.431
_cell_angle_alpha 90.00
_cell_angle_beta 90.00
_cell_angle_gamma 90.00
loop_
_atom_site_label
_atom_site_type_symbol
_atom_site_fract_x
_atom_site_fract_y
_atom_site_fract_z
P1 P 0.000 0.500 0.000
P2 P 0.500 0.000 0.000
P3 P 0.000 0.000 0.500
Se1 Se 0.000 0.000 0.000
Os1 Os 0.500 0.500 0.500
```



8.
Below is a crystal of POsSe relaxed with PBEsol, with properties calculated at the meta-GGA SCAN level.

Computed properties:
E_form (uncorrected) ... 98.6 meV per atom

CIF file:
```
data_POsSe
_symmetry_space_group_name_H-M 'P 1'
_symmetry_Int_Tables_number 1
_symmetry_space_group_name_Hall 'P 1'
_cell_length_a 3.632
_cell_length_b 3.632
_cell_length_c 5.140
_cell_angle_alpha 90.00
_cell_angle_beta 90.00
_cell_angle_gamma 120.00
loop_
_atom_site_label
_atom_site_type_symbol
_atom_site_fract_x
_atom_site_fract_y
_atom_site_fract_z
Os1 Os 0.000 0.000 0.953
P1 P 0.333 0.667 0.792
Se1 Se 0.667 0.333 0.255
```



9.
Below is a crystal of POsSe relaxed with PBEsol, with properties calculated at the meta-GGA SCAN level.

Computed properties:
E_form (uncorrected) ... 894.8 meV per atom

CIF file:
```
data_POsSe
_symmetry_space_group_name_H-M 'P 1'
_symmetry_Int_Tables_number 1
_symmetry_space_group_name_Hall 'P 1'
_cell_length_a 4.087
_cell_length_b 4.087
_cell_length_c 4.087
_cell_angle_alpha 60.00
_cell_angle_beta 60.00
_cell_angle_gamma 60.00
loop_
_atom_site_label
_atom_site_type_symbol
_atom_site_fract_x
_atom_site_fract_y
_atom_site_fract_z
Se1 Se 0.000 0.000 0.000
P1 P 0.250 0.250 0.250
Os1 Os 0.500 0.500 0.500
```



10.
Below is a crystal of POsSe relaxed with PBEsol, with properties calculated at the meta-GGA SCAN level.

Computed properties:
E_form (uncorrected) ... -391.7 meV per atom

CIF file:
```
data_POsSe
_symmetry_space_group_name_H-M 'P 1'
_symmetry_Int_Tables_number 1
_symmetry_space_group_name_Hall 'P 1'
_cell_length_a 5.928
_cell_length_b 5.926
_cell_length_c 6.017
_cell_angle_alpha 112.25
_cell_angle_beta 90.00
_cell_angle_gamma 90.00
loop_
_atom_site_label
_atom_site_type_symbol
_atom_site_fract_x
_atom_site_fract_y
_atom_site_fract_z
Os1 Os 0.011 0.264 0.292
Os2 Os 0.511 0.736 0.208
Os3 Os 0.489 0.264 0.792
Os4 Os 0.989 0.736 0.708
P1 P 0.869 0.857 0.115
P2 P 0.131 0.143 0.885
P3 P 0.631 0.857 0.615
P4 P 0.369 0.143 0.385
Se1 Se 0.875 0.335 0.695
Se2 Se 0.125 0.665 0.305
Se3 Se 0.375 0.665 0.805
Se4 Se 0.625 0.335 0.195
```



11.
Below is a crystal of POs3Se relaxed with PBEsol, with properties calculated at the meta-GGA SCAN level.

Computed properties:
E_form (uncorrected) ... 1413.8 meV per atom

CIF file:
```
data_POs3Se
_symmetry_space_group_name_H-M 'P 1'
_symmetry_Int_Tables_number 1
_symmetry_space_group_name_Hall 'P 1'
_cell_length_a 4.354
_cell_length_b 4.354
_cell_length_c 4.354
_cell_angle_alpha 90.00
_cell_angle_beta 90.00
_cell_angle_gamma 90.00
loop_
_atom_site_label
_atom_site_type_symbol
_atom_site_fract_x
_atom_site_fract_y
_atom_site_fract_z
Os1 Os 0.500 0.000 0.000
Os2 Os 0.000 0.000 0.500
Os3 Os 0.000 0.500 0.000
P1 P 0.000 0.000 0.000
Se1 Se 0.500 0.500 0.500
```



12.
Below is a crystal of SiP2Os relaxed with PBEsol, with properties calculated at the meta-GGA SCAN level.

Computed properties:
E_form (uncorrected) ... 389.3 meV per atom

CIF file:
```
data_SiP2Os
_symmetry_space_group_name_H-M 'P 1'
_symmetry_Int_Tables_number 1
_symmetry_space_group_name_Hall 'P 1'
_cell_length_a 2.883
_cell_length_b 2.883
_cell_length_c 6.477
_cell_angle_alpha 90.00
_cell_angle_beta 90.00
_cell_angle_gamma 90.00
loop_
_atom_site_label
_atom_site_type_symbol
_atom_site_fract_x
_atom_site_fract_y
_atom_site_fract_z
P1 P 0.000 0.000 0.267
P2 P 0.000 0.000 0.733
Os1 Os 0.500 0.500 0.500
Si1 Si 0.500 0.500 0.000
```



13.
Below is a crystal of SiP2Os2 relaxed with PBEsol, with properties calculated at the meta-GGA SCAN level.

Computed properties:
E_form (uncorrected) ... 171.0 meV per atom

CIF file:
```
data_SiP2Os2
_symmetry_space_group_name_H-M 'P 1'
_symmetry_Int_Tables_number 1
_symmetry_space_group_name_Hall 'P 1'
_cell_length_a 3.620
_cell_length_b 3.620
_cell_length_c 6.178
_cell_angle_alpha 107.04
_cell_angle_beta 107.04
_cell_angle_gamma 90.00
loop_
_atom_site_label
_atom_site_type_symbol
_atom_site_fract_x
_atom_site_fract_y
_atom_site_fract_z
Si1 Si 0.000 0.000 0.000
Os1 Os 0.376 0.376 0.753
Os2 Os 0.624 0.624 0.247
P1 P 0.250 0.750 0.500
P2 P 0.750 0.250 0.500
```



14.
Below is a crystal of SiP2Os relaxed with PBEsol, with properties calculated at the meta-GGA SCAN level.

Computed properties:
E_form (uncorrected) ... 200.3 meV per atom

CIF file:
```
data_SiP2Os
_symmetry_space_group_name_H-M 'P 1'
_symmetry_Int_Tables_number 1
_symmetry_space_group_name_Hall 'P 1'
_cell_length_a 2.958
_cell_length_b 2.958
_cell_length_c 6.653
_cell_angle_alpha 90.00
_cell_angle_beta 90.00
_cell_angle_gamma 90.00
loop_
_atom_site_label
_atom_site_type_symbol
_atom_site_fract_x
_atom_site_fract_y
_atom_site_fract_z
Os1 Os 0.500 0.500 0.734
P1 P 0.000 0.000 0.944
P2 P 0.500 0.500 0.326
Si1 Si 0.000 0.000 0.496
```



Magnetic moment, respectively: 0.001, 0.000, 0.000, 0.000, 0.000, 0.000, 0.000, 0.000, 0.000, 0.000, 0.000, 0.000, 0.000, 0.000 μB/atom.
Energy, respectively: -34.3769, -26.2055, -21.3517, -26.8310, -20.7427, -27.4242, -22.6615, -34.0204, -33.2242, -34.5107, -47.8096, -25.2839, -34.7436, -25.4730 eV/atom.